Density functional theory data (PBE-GGA) for crystalline LiNpU2Se5 at its relaxed geometry.

Cell: 4.019 10.785 12.128 Å, 90.00 90.00 100.74°
Positions (direct):
Se 0.925 0.851 0.643
Se 0.324 0.649 0.294
Se 0.676 0.351 0.794
Se 0.211 0.421 0.558
Se 0.677 0.354 0.307
Se 0.515 0.030 0.893
Se 0.789 0.579 0.058
Se 0.323 0.646 0.807
Se 0.075 0.149 0.143
Se 0.485 0.970 0.393
U 0.895 0.790 0.424
U 0.793 0.586 0.650
U 0.207 0.414 0.150
U 0.105 0.210 0.924
Np 0.782 0.563 0.450
Np 0.218 0.437 0.950
Li 0.509 0.019 0.105
Li 0.491 0.981 0.605



Density functional theory data (PBE-GGA) for crystalline HfMn3Pt12 at its relaxed geometry.

Output
formation enthalpy at 0 K	-0.55	eV per atom

Cell: 3.961 3.961 15.804 Å, 90.00 90.00 90.00°
Last column: magnetic moment on the atom in μB.
Positions (direct):
Pt 0.500 0.000 0.872  0.07
Pt 0.500 0.500 0.253  0.11
Pt 0.000 0.500 0.623  0.17
Pt 0.000 0.500 0.128  0.07
Pt 0.500 0.000 0.128  0.07
Pt 0.000 0.500 0.872  0.07
Pt 0.000 0.500 0.377  0.17
Pt 0.500 0.500 0.500  0.18
Pt 0.500 0.500 0.000  0.03
Pt 0.500 0.000 0.623  0.17
Pt 0.500 0.500 0.747  0.11
Pt 0.500 0.000 0.377  0.17
Mn 0.000 0.000 0.500  3.75
Mn 0.000 0.000 0.745  3.84
Mn 0.000 0.000 0.255  3.84
Hf 0.000 0.000 0.000  0.00



Density functional theory data (PBE-GGA) for crystalline PmPr2Tm at its relaxed geometry.

Output
offset from the most stable computed form	0.00	eV per formula unit
formation enthalpy at 0 K	0.01	eV per atom

Cell: 5.119 5.161 5.161 Å, 90.00 90.00 90.00°
Positions (direct):
Pr 0.000 0.500 0.000
Pr 0.000 0.000 0.500
Tm 0.500 0.000 0.000
Pm 0.500 0.500 0.500



Calculated total energy list, top to bottom, in eV/atom: -7.04, -7.42, -4.68